{"formula": "MoP2BrO", "functional": "PBE with a Hubbard U", "state": "optimized geometry", "lattice_angstrom": [[4.874, 0.000, 0.000], [0.000, 4.874, 0.000], [0.000, 0.000, 3.857]], "species": ["Mo", "P", "P", "Br", "O"], "frac_coords": [[0.000, 0.000, 0.000], [0.000, 0.500, 0.000], [0.500, 0.000, 0.000], [0.500, 0.500, 0.500], [0.000, 0.000, 0.500]], "vol_a3_per_cell": 91.6, "final_energy_ev_per_atom": -4.75, "relative_energy_mev_per_atom": 0}

=====

{"formula": "MoPBr2O", "functional": "PBE with a Hubbard U", "state": "optimized geometry", "lattice_angstrom": [[5.476, 0.000, 0.000], [0.000, 5.476, 0.000], [0.000, 0.000, 3.518]], "species": ["Mo", "P", "Br", "Br", "O"], "frac_coords": [[0.000, 0.000, 0.000], [0.500, 0.500, 0.500], [0.000, 0.500, 0.500], [0.500, 0.000, 0.500], [0.500, 0.500, 0.000]], "vol_a3_per_cell": 105.5, "final_energy_ev_per_atom": -4.18}

=====

{"formula": "MoPBrO2", "functional": "PBE with a Hubbard U", "state": "optimized geometry", "lattice_angstrom": [[3.844, 0.000, 0.000], [0.000, 3.844, 0.000], [0.000, 0.000, 5.436]], "species": ["Mo", "P", "Br", "O", "O"], "frac_coords": [[0.000, 0.000, 0.000], [0.500, 0.500, 0.000], [0.500, 0.500, 0.500], [0.000, 0.500, 0.500], [0.500, 0.000, 0.500]], "vol_a3_per_cell": 80.3, "final_energy_ev_per_atom": -4.06, "relative_energy_mev_per_atom": 1357}

=====

{"formula": "MoP2BrO", "functional": "PBE with a Hubbard U", "state": "optimized geometry", "lattice_angstrom": [[4.936, 0.000, 0.000], [0.000, 4.936, 0.000], [0.000, 0.000, 3.705]], "species": ["Mo", "P", "P", "Br", "O"], "frac_coords": [[0.000, 0.000, 0.000], [0.000, 0.500, 0.500], [0.500, 0.000, 0.500], [0.500, 0.500, 0.500], [0.500, 0.500, 0.000]], "vol_a3_per_cell": 90.3, "final_energy_ev_per_atom": -3.74, "relative_energy_mev_per_atom": 1017}

=====

{"formula": "Mo2Pb2Br2O5", "functional": "PBE with a Hubbard U", "state": "optimized geometry", "lattice_angstrom": [[-2.065, 2.065, 13.047], [2.065, -2.065, 13.047], [2.065, 2.065, -13.047]], "species": ["Mo", "Mo", "Pb", "Pb", "Br", "Br", "O", "O", "O", "O", "O"], "frac_coords": [[0.072, 0.072, 0.000], [0.928, 0.928, 0.000], [0.356, 0.356, 0.000], [0.644, 0.644, 0.000], [0.191, 0.191, 0.000], [0.809, 0.809, 0.000], [0.000, 0.000, 0.000], [0.088, 0.588, 0.500], [0.412, 0.912, 0.500], [0.588, 0.088, 0.500], [0.912, 0.412, 0.500]], "vol_a3_per_cell": 222.5, "final_energy_ev_per_atom": -5.78}

=====

{"formula": "MoPbBrO4", "functional": "PBE with a Hubbard U", "state": "optimized geometry", "lattice_angstrom": [[6.124, -3.598, 0.000], [6.124, 3.598, 0.000], [-1.648, 0.000, 7.199]], "species": ["Mo", "Mo", "Pb", "Pb", "Br", "Br", "O", "O", "O", "O", "O", "O", "O", "O"], "frac_coords": [[0.132, 0.132, 0.263], [0.868, 0.868, 0.737], [0.218, 0.218, 0.828], [0.782, 0.782, 0.172], [0.482, 0.482, 0.340], [0.518, 0.518, 0.660], [0.016, 0.016, 0.761], [0.024, 0.627, 0.856], [0.202, 0.202, 0.504], [0.373, 0.976, 0.144], [0.627, 0.024, 0.856], [0.798, 0.798, 0.496], [0.976, 0.373, 0.144], [0.984, 0.984, 0.239]], "vol_a3_per_cell": 317.3, "final_energy_ev_per_atom": -5.89}

=====

{"formula": "Pr3MoBr2O6", "functional": "PBE with a Hubbard U", "state": "optimized geometry", "lattice_angstrom": [[5.967, -3.424, 0.000], [5.967, 3.424, 0.000], [-1.094, 0.000, 5.798]], "species": ["Pr", "Pr", "Pr", "Mo", "Br", "Br", "O", "O", "O", "O", "O", "O"], "frac_coords": [[0.000, 0.000, 0.000], [0.000, 0.500, 0.500], [0.500, 0.000, 0.500], [0.500, 0.500, 0.500], [0.226, 0.226, 0.887], [0.774, 0.774, 0.113], [0.208, 0.680, 0.694], [0.320, 0.792, 0.306], [0.342, 0.342, 0.344], [0.658, 0.658, 0.656], [0.680, 0.208, 0.694], [0.792, 0.320, 0.306]], "vol_a3_per_cell": 236.9, "final_energy_ev_per_atom": -6.70}

=====

{"formula": "Rb2MoBr6O", "functional": "PBE with a Hubbard U", "state": "optimized geometry", "lattice_angstrom": [[-3.735, 3.735, 5.963], [3.735, -3.735, 5.963], [3.735, 3.735, -5.963]], "species": ["Rb", "Rb", "Mo", "Br", "Br", "Br", "Br", "Br", "Br", "O"], "frac_coords": [[0.250, 0.750, 0.500], [0.750, 0.250, 0.500], [0.000, 0.000, 0.000], [0.220, 0.220, 0.000], [0.244, 0.244, 0.487], [0.244, 0.756, 0.000], [0.756, 0.244, 0.000], [0.756, 0.756, 0.513], [0.780, 0.780, 0.000], [0.500, 0.500, 0.000]], "vol_a3_per_cell": 332.8, "final_energy_ev_per_atom": -3.15}